The following is a DFT calculation (PBE-GGA) of an optimized crystal structure of PmTh2Si2Rh7.

Cell lengths 4.1172, 4.1172, 13.1345 Å; angles 84.34, 84.34, 89.29 degrees
Closest atoms and distances in Å follow each position.
Sites, in units of the cell vectors:
Si 0.4229 0.4229 0.2535  5 Rh 2.34-2.35
Pm 0.0000 0.0000 0.0000  12 Rh 2.89-3.00
Rh 0.5503 0.0509 0.8331  2 Si 2.34-2.35
Rh 0.6519 0.6519 0.5671  1 Si 2.34
Rh 0.0509 0.5503 0.8331  2 Si 2.34-2.35
Rh 0.5000 0.5000 0.0000  4 Pm 2.89-2.93, 8 Rh 2.99
Th 0.9018 0.9018 0.3489  9 Rh 2.98-3.28, 4 Si 3.14-3.23
Rh 0.3481 0.3481 0.4329  1 Si 2.34
Si 0.5771 0.5771 0.7465  5 Rh 2.34-2.35
Th 0.0982 0.0982 0.6511  9 Rh 2.98-3.28, 4 Si 3.14-3.23
Rh 0.9491 0.4497 0.1669  2 Si 2.34-2.35
Rh 0.4497 0.9491 0.1669  2 Si 2.34-2.35

**Space-group type**: No. 12
**N(E_F)**: 5.30 states/eV/f.u.
**Formation energy without anion corrections**: -0.8624 eV/atom

The following is a DFT calculation (PBE-GGA) of an optimized crystal structure of La3Dy2Y4.

Cell lengths 3.6279, 6.2835, 15.3552 Å; angles 65.78, 90.00, 106.78 degrees
Closest atoms and distances in Å follow each position.
Sites, in units of the cell vectors:
Y 0.9991 0.9982 0.3298  4 Y 3.58-3.63, 5 La 3.59-3.69, 3 Dy 3.61-3.63
La 0.6685 0.3370 0.4419  5 Y 3.59-3.69, 2 Dy 3.62, 5 La 3.63-3.66
Y 0.6669 0.3338 0.1114  6 Y 3.58-3.63, 3 Dy 3.59-3.63, 3 La 3.62-3.63
Dy 0.3334 0.6668 0.2197  4 La 3.59-3.62, 6 Y 3.59-3.63, 2 Dy 3.63
Y 0.0009 0.0018 0.6702  4 Y 3.58-3.63, 5 La 3.59-3.69, 3 Dy 3.61-3.63
La 0.0000 0.0000 0.0000  4 Dy 3.59, 6 Y 3.62-3.63, 2 La 3.63
La 0.3315 0.6630 0.5581  5 Y 3.59-3.69, 2 Dy 3.62, 5 La 3.63-3.66
Y 0.3331 0.6662 0.8886  6 Y 3.58-3.63, 3 Dy 3.59-3.63, 3 La 3.62-3.63
Dy 0.6666 0.3332 0.7803  4 La 3.59-3.62, 6 Y 3.59-3.63, 2 Dy 3.63

**Space-group type**: No. 12
**ΔH_f (0 K)**: 0.025 eV/atom
**N(E_F)**: 13.82 states/eV/f.u.

The following is a DFT calculation (PBE-GGA) of an optimized crystal structure of KGeP2Cl.

Cell lengths 4.6728, 4.6728, 6.2567 Å; angles 90.00, 90.00, 90.00 degrees
Closest atoms and distances in Å follow each position.
Sites, in units of the cell vectors:
Cl 0.0000 0.0000 0.5000  2 Ge 3.13, 4 K 3.30
P 0.0000 0.5000 0.0000  2 Ge 2.34
P 0.5000 0.0000 0.0000  2 Ge 2.34
Ge 0.0000 0.0000 0.0000  4 P 2.34
K 0.5000 0.5000 0.5000  4 Cl 3.30

**Space-group type**: No. 123
**N(E_F)**: 3.40 states/eV/f.u.
**Formation energy without anion corrections**: 0.0109 eV/atom

Q: Which of these has the highest N(E_F)?
A: La3Dy2Y4

Q: Which of these has the lowest N(E_F)?
A: KGeP2Cl

Please write out number 3 again, unchanged.
The following is a DFT calculation (PBE-GGA) of an optimized crystal structure of KGeP2Cl.

Cell lengths 4.6728, 4.6728, 6.2567 Å; angles 90.00, 90.00, 90.00 degrees
Closest atoms and distances in Å follow each position.
Sites, in units of the cell vectors:
Cl 0.0000 0.0000 0.5000  2 Ge 3.13, 4 K 3.30
P 0.0000 0.5000 0.0000  2 Ge 2.34
P 0.5000 0.0000 0.0000  2 Ge 2.34
Ge 0.0000 0.0000 0.0000  4 P 2.34
K 0.5000 0.5000 0.5000  4 Cl 3.30

**Space-group type**: No. 123
**N(E_F)**: 3.40 states/eV/f.u.
**Formation energy without anion corrections**: 0.0109 eV/atom